[1]
! KNdAu2, relaxed, DFT PBE; values from VASP
! Volume: 26.6 A^3/atom
! Final energy: -3.54 eV per atom
! Spin magnetization: 0.0 μB per formula unit
! Space-group type: P4/mmm
! Energy of formation from the pure elements: -0.43 eV/atom
! ΔE to the lowest computed polymorph: 131 meV per atom
&SYSTEM
  ibrav = 0, nat = 4, ntyp = 3
/
ATOMIC_SPECIES
K 39.10 K.upf
Nd 144.24 Nd.upf
Au 196.97 Au.upf
CELL_PARAMETERS angstrom
5.464 0.000 0.000
0.000 5.464 0.000
0.000 0.000 3.560
ATOMIC_POSITIONS angstrom
K 0.000 0.000 0.000
Nd 2.732 2.732 0.000
Au 0.000 2.732 1.780
Au 2.732 0.000 1.780

***

[2]
! KNdAu4, relaxed, DFT PBE; values from VASP
! Volume: 22.7 A^3/atom
! Final energy: -3.49 eV per atom
! Spin magnetization: 0.0 μB per formula unit
! Space-group type: F-43m
! Energy of formation from the pure elements: -0.33 eV/atom
&SYSTEM
  ibrav = 0, nat = 6, ntyp = 3
/
ATOMIC_SPECIES
K 39.10 K.upf
Nd 144.24 Nd.upf
Au 196.97 Au.upf
CELL_PARAMETERS angstrom
0.000 4.086 4.086
4.086 0.000 4.086
4.086 4.086 0.000
ATOMIC_POSITIONS angstrom
K 0.000 0.000 0.000
Nd 2.043 2.043 2.043
Au 5.111 3.061 3.061
Au 3.061 5.111 3.061
Au 3.061 3.061 5.111
Au 5.111 5.111 5.111